1.
{
  "formula": "ScNi3B3",
  "functional": "PBE-GGA",
  "state": "optimized geometry",
  "magmom_total_mub_per_fu": 0.00,
  "spacegroup": "P6_3/m",
  "density_kg_m3": 5780,
  "e_above_lowest_polymorph_ev_per_atom": 0.000,
  "formation_enthalpy_0k_ev_per_atom": -0.3425,
  "cell": [[7.392, 0.000, 0.000], [-3.696, 6.402, 0.000], [0.000, 0.000, 3.077]],
  "species": ["Sc", "Sc", "Ni", "Ni", "Ni", "Ni", "Ni", "Ni", "B", "B", "B", "B", "B", "B"],
  "frac_coords": [[0.333, 0.667, 0.250], [0.667, 0.333, 0.750], [0.083, 0.328, 0.750], [0.245, 0.917, 0.750], [0.328, 0.245, 0.250], [0.672, 0.755, 0.750], [0.755, 0.083, 0.250], [0.917, 0.672, 0.250], [0.041, 0.588, 0.750], [0.412, 0.452, 0.750], [0.452, 0.041, 0.250], [0.548, 0.959, 0.750], [0.588, 0.548, 0.250], [0.959, 0.412, 0.250]]
}

=====

2.
{
  "formula": "ZnNi2Rh",
  "functional": "PBE-GGA",
  "state": "optimized geometry",
  "magmom_total_mub_per_fu": 0.75,
  "spacegroup": "P4/mmm",
  "density_kg_m3": 9550,
  "formation_enthalpy_0k_ev_per_atom": -0.0857,
  "cell": [[2.659, 0.000, 0.000], [0.000, 2.659, 0.000], [0.000, 0.000, 7.025]],
  "species": ["Zn", "Ni", "Ni", "Rh"],
  "frac_coords": [[0.000, 0.000, 0.000], [0.500, 0.500, 0.246], [0.500, 0.500, 0.754], [0.000, 0.000, 0.500]]
}

=====

3.
{
  "formula": "Sm2CuTc",
  "functional": "PBE-GGA",
  "state": "optimized geometry",
  "magmom_total_mub_per_fu": 0.00,
  "spacegroup": "P4/mmm",
  "density_kg_m3": 8729,
  "formation_enthalpy_0k_ev_per_atom": -0.0251,
  "cell": [[3.506, 0.000, 0.000], [0.000, 3.506, 0.000], [0.000, 0.000, 7.156]],
  "species": ["Sm", "Sm", "Cu", "Tc"],
  "frac_coords": [[0.000, 0.000, 0.237], [0.000, 0.000, 0.763], [0.500, 0.500, 0.500], [0.500, 0.500, 0.000]]
}

=====

4.
{
  "formula": "TbPr2SmHo6",
  "functional": "PBE-GGA",
  "state": "optimized geometry",
  "magmom_total_mub_per_fu": 0.00,
  "spacegroup": "C2/c",
  "density_kg_m3": 8019,
  "formation_enthalpy_0k_ev_per_atom": 0.1186,
  "cell": [[4.520, -7.520, 0.000], [4.520, 7.520, 0.000], [-1.580, 0.000, 9.631]],
  "species": ["Tb", "Tb", "Pr", "Pr", "Pr", "Pr", "Sm", "Sm", "Ho", "Ho", "Ho", "Ho", "Ho", "Ho", "Ho", "Ho", "Ho", "Ho", "Ho", "Ho"],
  "frac_coords": [[0.094, 0.906, 0.750], [0.906, 0.094, 0.250], [0.206, 0.308, 0.958], [0.308, 0.206, 0.458], [0.692, 0.794, 0.542], [0.794, 0.692, 0.042], [0.483, 0.517, 0.250], [0.517, 0.483, 0.750], [0.007, 0.795, 0.381], [0.075, 0.523, 0.187], [0.205, 0.993, 0.119], [0.240, 0.623, 0.557], [0.377, 0.760, 0.943], [0.477, 0.925, 0.313], [0.523, 0.075, 0.687], [0.623, 0.240, 0.057], [0.760, 0.377, 0.443], [0.795, 0.007, 0.881], [0.925, 0.477, 0.813], [0.993, 0.205, 0.619]]
}